1.
This record from Alexandria via LeMat-Bulk describes a PBEsol-optimized structure of RbTiPS5. The functional is meta-GGA SCAN.

- space group = C2/m, No. 12
- energy relative to the elements, uncorrected (eV/atom) = -1.10

Geometry as CIF:
```
data_RbTiPS5
_chemical_formula_sum 'Rb4 Ti4 P4 S20'
_symmetry_space_group_name_H-M 'P 1'
_symmetry_Int_Tables_number 1
_cell_length_a 7.019
_cell_length_b 9.648
_cell_length_c 13.322
_cell_angle_alpha 81.81
_cell_angle_beta 74.73
_cell_angle_gamma 68.67
loop_
_symmetry_equiv_pos_as_xyz
'x,y,z'
loop_
_atom_site_label
_atom_site_type_symbol
_atom_site_fract_x
_atom_site_fract_y
_atom_site_fract_z
Rb1 Rb 0.335 0.463 0.867
Rb2 Rb 0.299 0.046 0.355
Rb3 Rb 0.701 0.954 0.645
Rb4 Rb 0.665 0.537 0.133
Ti1 Ti 0.275 0.000 0.000
Ti2 Ti 0.725 0.000 0.000
Ti3 Ti 0.223 0.500 0.500
Ti4 Ti 0.777 0.500 0.500
P1 P 0.670 0.255 0.404
P2 P 0.924 0.255 0.896
P3 P 0.076 0.745 0.104
P4 P 0.330 0.745 0.596
S1 S 0.824 0.474 0.878
S2 S 0.411 0.366 0.342
S3 S 0.881 0.366 0.342
S4 S 0.024 0.362 0.591
S5 S 0.560 0.323 0.557
S6 S 0.889 0.171 0.052
S7 S 0.241 0.150 0.840
S8 S 0.768 0.150 0.840
S9 S 0.391 0.128 0.090
S10 S 0.787 0.039 0.386
S11 S 0.213 0.961 0.614
S12 S 0.609 0.872 0.910
S13 S 0.759 0.850 0.160
S14 S 0.232 0.850 0.160
S15 S 0.111 0.829 0.948
S16 S 0.440 0.677 0.443
S17 S 0.976 0.638 0.409
S18 S 0.119 0.634 0.658
S19 S 0.589 0.634 0.658
S20 S 0.176 0.526 0.122
```

2.
This record from Alexandria via LeMat-Bulk describes a PBEsol-optimized structure of Cs2TeS3. The functional is meta-GGA SCAN.

- space group = P2_1/c, No. 14
- energy relative to the elements, uncorrected (eV/atom) = -0.90

Geometry as CIF:
```
data_Cs2TeS3
_chemical_formula_sum 'Cs16 Te8 S24'
_symmetry_space_group_name_H-M 'P 1'
_symmetry_Int_Tables_number 1
_cell_length_a 9.939
_cell_length_b 12.585
_cell_length_c 13.918
_cell_angle_alpha 90.00
_cell_angle_beta 92.26
_cell_angle_gamma 90.00
loop_
_symmetry_equiv_pos_as_xyz
'x,y,z'
loop_
_atom_site_label
_atom_site_type_symbol
_atom_site_fract_x
_atom_site_fract_y
_atom_site_fract_z
Cs1 Cs 0.431 0.088 0.127
Cs2 Cs 0.931 0.412 0.627
Cs3 Cs 0.569 0.912 0.873
Cs4 Cs 0.069 0.588 0.373
Cs5 Cs 0.043 0.271 0.919
Cs6 Cs 0.543 0.229 0.419
Cs7 Cs 0.957 0.729 0.081
Cs8 Cs 0.457 0.771 0.581
Cs9 Cs 0.033 0.148 0.401
Cs10 Cs 0.533 0.352 0.901
Cs11 Cs 0.967 0.852 0.599
Cs12 Cs 0.467 0.648 0.099
Cs13 Cs 0.819 0.368 0.146
Cs14 Cs 0.319 0.132 0.646
Cs15 Cs 0.181 0.632 0.854
Cs16 Cs 0.681 0.868 0.354
Te1 Te 0.823 0.034 0.117
Te2 Te 0.323 0.466 0.617
Te3 Te 0.177 0.966 0.883
Te4 Te 0.677 0.534 0.383
Te5 Te 0.242 0.385 0.202
Te6 Te 0.742 0.115 0.702
Te7 Te 0.758 0.615 0.798
Te8 Te 0.258 0.885 0.298
S1 S 0.749 0.122 0.253
S2 S 0.249 0.378 0.753
S3 S 0.251 0.878 0.747
S4 S 0.751 0.622 0.247
S5 S 0.322 0.115 0.892
S6 S 0.822 0.385 0.392
S7 S 0.678 0.885 0.108
S8 S 0.178 0.615 0.608
S9 S 0.242 0.358 0.488
S10 S 0.742 0.142 0.988
S11 S 0.758 0.642 0.512
S12 S 0.258 0.858 0.012
S13 S 0.470 0.364 0.167
S14 S 0.970 0.136 0.667
S15 S 0.530 0.636 0.833
S16 S 0.030 0.864 0.333
S17 S 0.148 0.492 0.078
S18 S 0.648 0.008 0.578
S19 S 0.852 0.508 0.922
S20 S 0.352 0.992 0.422
S21 S 0.134 0.221 0.171
S22 S 0.634 0.279 0.671
S23 S 0.866 0.779 0.829
S24 S 0.366 0.721 0.329
```

3.
This record from Alexandria via LeMat-Bulk describes a PBEsol-optimized structure of AgF2. The functional is meta-GGA SCAN.

- space group = Pbca, No. 61
- energy relative to the elements, uncorrected (eV/atom) = -1.24

Geometry as CIF:
```
data_AgF2
_chemical_formula_sum 'Ag4 F8'
_symmetry_space_group_name_H-M 'P 1'
_symmetry_Int_Tables_number 1
_cell_length_a 5.191
_cell_length_b 5.617
_cell_length_c 5.673
_cell_angle_alpha 90.00
_cell_angle_beta 90.00
_cell_angle_gamma 90.00
loop_
_symmetry_equiv_pos_as_xyz
'x,y,z'
loop_
_atom_site_label
_atom_site_type_symbol
_atom_site_fract_x
_atom_site_fract_y
_atom_site_fract_z
Ag1 Ag 0.500 0.000 0.500
Ag2 Ag 0.000 0.500 0.500
Ag3 Ag 0.500 0.500 0.000
Ag4 Ag 0.000 0.000 0.000
F1 F 0.689 0.303 0.622
F2 F 0.189 0.197 0.378
F3 F 0.311 0.803 0.878
F4 F 0.811 0.697 0.122
F5 F 0.189 0.303 0.878
F6 F 0.689 0.197 0.122
F7 F 0.811 0.803 0.622
F8 F 0.311 0.697 0.378
```